# LaAg3Sn2 (PBE, relaxed)
# Energy, eV per atom: -3.88
data_LaAg3Sn2
_cell_length_a 16.926
_cell_length_b 4.801
_cell_length_c 8.130
_cell_angle_alpha 90.00
_cell_angle_beta 118.70
_cell_angle_gamma 90.00
_symmetry_space_group_name_H-M 'C 1 2/m 1'
_symmetry_Int_Tables_number 12
loop_
_symmetry_equiv_pos_as_xyz
'x,y,z'
'-x,-y,-z'
'-x,y,-z'
'x,-y,z'
'x+1/2,y+1/2,z'
'-x+1/2,-y+1/2,-z'
'-x+1/2,y+1/2,-z'
'x+1/2,-y+1/2,z'
loop_
_atom_site_label
_atom_site_type_symbol
_atom_site_fract_x
_atom_site_fract_y
_atom_site_fract_z
_atom_site_occupancy
La1 La 0.135 0.000 0.135 1
Ag1 Ag 0.001 0.000 0.334 1
Ag2 Ag 0.182 0.500 0.470 1
Ag3 Ag 0.182 0.500 0.894 1
Sn1 Sn 0.000 0.500 0.176 1
Sn2 Sn 0.184 0.000 0.684 1



# NaGaF3 (PBE, relaxed)
# Formation energy (no corrections), kJ/mol of formula units: -1217.1
data_NaGaF3
_cell_length_a 13.171
_cell_length_b 3.864
_cell_length_c 6.697
_cell_angle_alpha 90.00
_cell_angle_beta 120.41
_cell_angle_gamma 90.00
_symmetry_space_group_name_H-M 'C 1 2/m 1'
_symmetry_Int_Tables_number 12
loop_
_symmetry_equiv_pos_as_xyz
'x,y,z'
'-x,-y,-z'
'-x,y,-z'
'x,-y,z'
'x+1/2,y+1/2,z'
'-x+1/2,-y+1/2,-z'
'-x+1/2,y+1/2,-z'
'x+1/2,-y+1/2,z'
loop_
_atom_site_label
_atom_site_type_symbol
_atom_site_fract_x
_atom_site_fract_y
_atom_site_fract_z
_atom_site_occupancy
Na1 Na 0.187 0.000 0.186 1
Ga1 Ga 0.000 0.500 0.321 1
F1 F 0.000 0.000 0.222 1
F2 F 0.153 0.500 0.363 1
F3 F 0.153 0.500 0.941 1



# CaCoW2 (PBE, relaxed)
# Energy, eV per atom: -7.99
data_CaCoW2
_cell_length_a 3.204
_cell_length_b 3.204
_cell_length_c 7.248
_cell_angle_alpha 90.00
_cell_angle_beta 90.00
_cell_angle_gamma 90.00
_symmetry_space_group_name_H-M 'P 4/m m m'
_symmetry_Int_Tables_number 123
_symmetry_space_group_name_Hall '-P 4 2'
loop_
_atom_site_label
_atom_site_type_symbol
_atom_site_fract_x
_atom_site_fract_y
_atom_site_fract_z
_atom_site_occupancy
Ca1 Ca 0.000 0.000 0.000 1
Co1 Co 0.000 0.000 0.500 1
W1 W 0.500 0.500 0.334 1



# CeScTc2 (PBE, relaxed)
# Energy, eV per atom: -8.39
data_CeScTc2
_cell_length_a 6.653
_cell_length_b 6.653
_cell_length_c 6.653
_cell_angle_alpha 90.00
_cell_angle_beta 90.00
_cell_angle_gamma 90.00
_symmetry_space_group_name_H-M 'F m -3 m'
_symmetry_Int_Tables_number 225
_symmetry_space_group_name_Hall '-F 4 2 3'
loop_
_atom_site_label
_atom_site_type_symbol
_atom_site_fract_x
_atom_site_fract_y
_atom_site_fract_z
_atom_site_occupancy
Ce1 Ce 0.000 0.000 0.000 1
Sc1 Sc 0.000 0.000 0.500 1
Tc1 Tc 0.250 0.250 0.250 1



# Ac2Nd2Co (PBE, relaxed)
# Energy, eV per atom: -4.83
data_Ac2Nd2Co
_cell_length_a 5.091
_cell_length_b 5.091
_cell_length_c 25.883
_cell_angle_alpha 90.00
_cell_angle_beta 90.00
_cell_angle_gamma 90.00
_symmetry_space_group_name_H-M 'I 41/a m d'
_symmetry_Int_Tables_number 141
loop_
_symmetry_equiv_pos_as_xyz
'x,y,z'
'-x,-y,-z'
'-y+1/4,x+3/4,z+1/4'
'y+1/4,-x+3/4,-z+1/4'
'-x+1/2,-y,z+1/2'
'x+1/2,y,-z+1/2'
'y+1/4,-x+1/4,z+3/4'
'-y+1/4,x+1/4,-z+3/4'
'x,-y,-z'
'-x,y,z'
'-y+1/4,-x+1/4,-z+3/4'
'y+1/4,x+1/4,z+3/4'
'-x+1/2,y,-z+1/2'
'x+1/2,-y,z+1/2'
'y+1/4,x+3/4,-z+1/4'
'-y+1/4,-x+3/4,z+1/4'
'x+1/2,y+1/2,z+1/2'
'-x+1/2,-y+1/2,-z+1/2'
'-y+3/4,x+1/4,z+3/4'
'y+3/4,-x+1/4,-z+3/4'
'-x,-y+1/2,z'
'x,y+1/2,-z'
'y+3/4,-x+3/4,z+1/4'
'-y+3/4,x+3/4,-z+1/4'
'x+1/2,-y+1/2,-z+1/2'
'-x+1/2,y+1/2,z+1/2'
'-y+3/4,-x+3/4,-z+1/4'
'y+3/4,x+3/4,z+1/4'
'-x,y+1/2,-z'
'x,-y+1/2,z'
'y+3/4,x+1/4,-z+3/4'
'-y+3/4,-x+1/4,z+3/4'
loop_
_atom_site_label
_atom_site_type_symbol
_atom_site_fract_x
_atom_site_fract_y
_atom_site_fract_z
_atom_site_occupancy
Ac1 Ac 0.000 0.250 0.064 1
Nd1 Nd 0.000 0.250 0.197 1
Co1 Co 0.000 0.250 0.375 1



# Ba3LiTc (PBE, relaxed)
# Energy, eV per atom: -3.14
data_Ba3LiTc
_cell_length_a 5.990
_cell_length_b 5.990
_cell_length_c 5.990
_cell_angle_alpha 90.00
_cell_angle_beta 90.00
_cell_angle_gamma 90.00
_symmetry_space_group_name_H-M 'P m -3 m'
_symmetry_Int_Tables_number 221
_symmetry_space_group_name_Hall '-P 4 2 3'
loop_
_atom_site_label
_atom_site_type_symbol
_atom_site_fract_x
_atom_site_fract_y
_atom_site_fract_z
_atom_site_occupancy
Ba1 Ba 0.000 0.000 0.500 1
Li1 Li 0.500 0.500 0.500 1
Tc1 Tc 0.000 0.000 0.000 1



# La3PmHo4 (PBE, relaxed)
# Energy, eV per atom: -4.59
data_La3PmHo4
_cell_length_a 3.490
_cell_length_b 11.827
_cell_length_c 13.226
_cell_angle_alpha 90.00
_cell_angle_beta 90.00
_cell_angle_gamma 90.00
_symmetry_space_group_name_H-M 'I m m m'
_symmetry_Int_Tables_number 71
_symmetry_space_group_name_Hall '-I 2 2'
loop_
_atom_site_label
_atom_site_type_symbol
_atom_site_fract_x
_atom_site_fract_y
_atom_site_fract_z
_atom_site_occupancy
La1 La 0.000 0.000 0.000 1
La2 La 0.000 0.500 0.243 1
Pm1 Pm 0.000 0.000 0.500 1
Ho1 Ho 0.000 0.247 0.365 1



# SrSi2As (PBE, relaxed)
# Formation energy (no corrections), kJ/mol of formula units: 100.9
data_SrSi2As
_cell_length_a 7.096
_cell_length_b 7.096
_cell_length_c 7.096
_cell_angle_alpha 90.00
_cell_angle_beta 90.00
_cell_angle_gamma 90.00
_symmetry_space_group_name_H-M 'F -4 3 m'
_symmetry_Int_Tables_number 216
_symmetry_space_group_name_Hall 'F -4 2 3'
loop_
_atom_site_label
_atom_site_type_symbol
_atom_site_fract_x
_atom_site_fract_y
_atom_site_fract_z
_atom_site_occupancy
Sr1 Sr 0.000 0.000 0.000 1
Si1 Si 0.000 0.000 0.500 1
Si2 Si 0.250 0.250 0.750 1
As1 As 0.250 0.250 0.250 1



# YFe2Pt (PBE, relaxed)
# Energy, eV per atom: -7.50
data_YFe2Pt
_cell_length_a 6.445
_cell_length_b 6.445
_cell_length_c 6.445
_cell_angle_alpha 90.00
_cell_angle_beta 90.00
_cell_angle_gamma 90.00
_symmetry_space_group_name_H-M 'F -4 3 m'
_symmetry_Int_Tables_number 216
_symmetry_space_group_name_Hall 'F -4 2 3'
loop_
_atom_site_label
_atom_site_type_symbol
_atom_site_fract_x
_atom_site_fract_y
_atom_site_fract_z
_atom_site_occupancy
Y1 Y 0.000 0.000 0.000 1
Fe1 Fe 0.000 0.000 0.500 1
Fe2 Fe 0.250 0.250 0.250 1
Pt1 Pt 0.250 0.250 0.750 1



# ReSiOs (PBE, relaxed)
# Formation energy (no corrections), kJ/mol of formula units: 11.9
data_ReSiOs
_cell_length_a 2.814
_cell_length_b 3.900
_cell_length_c 7.677
_cell_angle_alpha 90.00
_cell_angle_beta 90.00
_cell_angle_gamma 90.00
_symmetry_space_group_name_H-M 'I m m 2'
_symmetry_Int_Tables_number 44
loop_
_symmetry_equiv_pos_as_xyz
'x,y,z'
'-x,-y,z'
'-x,y,z'
'x,-y,z'
'x+1/2,y+1/2,z+1/2'
'-x+1/2,-y+1/2,z+1/2'
'-x+1/2,y+1/2,z+1/2'
'x+1/2,-y+1/2,z+1/2'
loop_
_atom_site_label
_atom_site_type_symbol
_atom_site_fract_x
_atom_site_fract_y
_atom_site_fract_z
_atom_site_occupancy
Re1 Re 0.000 0.000 0.000 1
Si1 Si 0.000 0.000 0.669 1
Os1 Os 0.000 0.000 0.339 1



# CaCe3 (PBE, relaxed)
# Energy, eV per atom: -4.71
data_CaCe3
_cell_length_a 3.347
_cell_length_b 5.622
_cell_length_c 6.390
_cell_angle_alpha 90.00
_cell_angle_beta 90.00
_cell_angle_gamma 90.00
_symmetry_space_group_name_H-M 'P m m 2'
_symmetry_Int_Tables_number 25
loop_
_symmetry_equiv_pos_as_xyz
'x,y,z'
'-x,-y,z'
'-x,y,z'
'x,-y,z'
loop_
_atom_site_label
_atom_site_type_symbol
_atom_site_fract_x
_atom_site_fract_y
_atom_site_fract_z
_atom_site_occupancy
Ca1 Ca 0.000 0.000 0.000 1
Ce1 Ce 0.000 0.500 0.669 1
Ce2 Ce 0.500 0.000 0.510 1
Ce3 Ce 0.500 0.500 0.264 1



# Pr2In8Pd (PBE, relaxed)
# Energy, eV per atom: -3.79
data_Pr2In8Pd
_cell_length_a 4.743
_cell_length_b 4.743
_cell_length_c 12.351
_cell_angle_alpha 90.00
_cell_angle_beta 90.00
_cell_angle_gamma 90.00
_symmetry_space_group_name_H-M 'P 4/m m m'
_symmetry_Int_Tables_number 123
_symmetry_space_group_name_Hall '-P 4 2'
loop_
_atom_site_label
_atom_site_type_symbol
_atom_site_fract_x
_atom_site_fract_y
_atom_site_fract_z
_atom_site_occupancy
Pr1 Pr 0.000 0.000 0.191 1
In1 In 0.000 0.500 0.000 1
In2 In 0.000 0.500 0.377 1
In3 In 0.500 0.500 0.191 1
Pd1 Pd 0.000 0.000 0.500 1



Result set for total moment: 0.00, 0.00, 0.77, 0.00, 0.00, 0.00, 0.00, 0.00, 5.18, 0.00, 1.11, 0.00 μB per formula unit, one per record in the order listed.
Result set for N(E_F): 12.3, 0.0, 7.1, 12.0, 24.8, 6.1, 28.0, 17.1, 12.4, 3.4, 12.4, 5.5 states/eV/cell, one per record in the order listed.